A plane-wave DFT calculation with GGA-PBE was carried out for crystalline Ho2CuNi2 at its relaxed geometry.

Output
**VASP energy**: -53.65 eV for the cell shown
**Space-group type**: No. 15
**ΔH_f (0 K)**: -402 meV per atom

The structure in POSCAR format:
```
Ho2CuNi2
1.0
5.251 0.000 0.000
-2.626 4.571 0.055
0.000 -2.016 7.377
Ho Ni Cu
4 4 2
Direct
0.492 0.702 0.851
0.508 0.298 0.149
0.210 0.702 0.351
0.790 0.298 0.649
0.001 0.731 0.997
0.730 0.731 0.497
0.270 0.269 0.503
0.999 0.269 0.003
0.155 0.000 0.750
0.845 0.000 0.250
```

---

A plane-wave DFT calculation with GGA-PBE was carried out for crystalline Sm2NpReN6 at its relaxed geometry.

Output
**VASP energy**: -93.28 eV for the cell shown
**Formation energy (no corrections)**: -8.5 eV/f.u.
**Space-group type**: No. 99

The structure in POSCAR format:
```
Sm2NpReN6
1.0
-2.845 -0.960 3.137
3.392 -4.231 1.782
2.663 3.618 3.522
Sm N Np Re
2 6 1 1
Direct
0.038 0.000 0.500
0.038 0.500 0.000
0.180 0.000 0.000
0.704 0.761 0.761
0.704 0.239 0.239
0.704 0.239 0.761
0.704 0.761 0.239
0.151 0.500 0.500
0.637 0.500 0.500
0.587 0.000 0.000
```

---

A plane-wave DFT calculation with GGA-PBE was carried out for crystalline NaYTiNbO6F at its relaxed geometry.

Output
**VASP energy**: -179.64 eV for the cell shown
**Formation energy (no corrections)**: -32.5 eV/f.u.
**Energy relative to the lowest polymorph listed for this composition**: 0.6 kJ/mol of atoms
**Space-group type**: No. 74

The structure in POSCAR format:
```
NaYTiNbO6F
1.0
7.308 0.002 0.005
-0.043 7.308 -0.005
-3.426 -3.860 5.174
O Na Ti F Y Nb
12 2 2 2 2 2
Direct
0.064 0.411 0.231
0.679 0.411 0.847
0.064 0.833 0.653
0.319 0.569 0.750
0.936 0.589 0.769
0.321 0.167 0.731
0.922 0.172 0.750
0.681 0.431 0.250
0.321 0.589 0.153
0.078 0.828 0.250
0.679 0.833 0.269
0.936 0.167 0.347
0.500 0.500 0.500
0.500 0.000 0.000
0.000 0.000 0.500
0.000 0.500 0.000
0.634 0.884 0.750
0.366 0.116 0.250
0.500 0.000 0.500
0.000 0.000 0.000
0.500 0.500 0.000
0.000 0.500 0.500
```

---

A plane-wave DFT calculation with GGA-PBE was carried out for crystalline SrSb2Au6 at its relaxed geometry.

Output
**VASP energy**: -31.53 eV for the cell shown
**Formation energy (no corrections)**: -1.9 eV/f.u.
**Space-group type**: No. 71

The structure in POSCAR format:
```
SrSb2Au6
1.0
-2.961 1.791 2.100
-4.980 -6.147 2.124
0.110 -3.769 7.271
Au Sb Sr
6 2 1
Direct
0.500 0.684 0.316
0.681 0.631 0.006
0.681 0.006 0.631
0.319 0.369 0.994
0.500 0.316 0.684
0.319 0.994 0.369
0.856 0.644 0.644
0.144 0.356 0.356
0.000 0.000 0.000
```

---

A plane-wave DFT calculation with GGA-PBE was carried out for crystalline SnBiSe2I at its relaxed geometry.

Output
**VASP energy**: -36.83 eV for the cell shown
**Formation energy (no corrections)**: -2.0 eV/f.u.
**Space-group type**: No. 11

The structure in POSCAR format:
```
SnBiSe2I
1.0
4.216 0.000 0.000
0.000 11.646 -1.723
0.000 -7.252 9.506
I Sn Se Bi
2 2 4 2
Direct
0.750 0.089 0.847
0.250 0.911 0.153
0.250 0.364 0.530
0.750 0.636 0.470
0.750 0.620 0.207
0.750 0.589 0.689
0.250 0.411 0.311
0.250 0.380 0.793
0.250 0.377 0.039
0.750 0.623 0.961
```

---

A plane-wave DFT calculation with GGA-PBE was carried out for crystalline Zr2NbAg at its relaxed geometry.

Output
**VASP energy**: -28.63 eV for the cell shown
**Energy relative to the lowest polymorph listed for this composition**: 36.8 kJ/mol of atoms
**Space-group type**: No. 166
**ΔH_f (0 K)**: 347 meV per atom

The structure in POSCAR format:
```
Zr2NbAg
1.0
-1.729 -2.349 0.628
-1.338 -1.499 -2.205
7.598 -7.834 -1.300
Ag Nb Zr
1 1 2
Direct
0.500 0.500 0.500
0.000 0.000 0.000
0.087 0.087 0.738
0.913 0.913 0.262
```

---

A plane-wave DFT calculation with GGA-PBE was carried out for crystalline SiAg8Se6 at its relaxed geometry.

Output
**VASP energy**: -103.62 eV for the cell shown
**Formation energy (no corrections)**: -2.7 eV/f.u.
**Space-group type**: No. 31

The structure in POSCAR format:
```
SiAg8Se6
1.0
-7.415 2.329 0.454
-1.969 -5.135 -5.814
-1.968 -7.725 7.489
Ag Se Si
16 12 2
Direct
0.464 0.198 0.731
0.851 0.802 0.842
0.102 0.292 0.636
0.277 0.000 0.520
0.464 0.802 0.731
0.149 0.698 0.342
0.536 0.302 0.231
0.536 0.698 0.231
0.379 0.000 0.958
0.898 0.792 0.136
0.621 0.500 0.458
0.898 0.208 0.136
0.102 0.708 0.636
0.851 0.198 0.842
0.149 0.302 0.342
0.723 0.500 0.020
0.483 0.500 0.852
0.286 0.500 0.503
0.517 0.000 0.352
0.750 0.760 0.597
0.815 0.500 0.255
0.714 0.000 0.003
0.010 0.500 0.854
0.185 0.000 0.755
0.250 0.260 0.097
0.750 0.240 0.597
0.990 0.000 0.354
0.250 0.740 0.097
0.750 0.000 0.480
0.250 0.500 0.980
```

---

A plane-wave DFT calculation with GGA-PBE was carried out for crystalline NbFeRe2H at its relaxed geometry.

Output
**VASP energy**: -46.36 eV for the cell shown
**Space-group type**: No. 123

The structure in POSCAR format:
```
NbFeRe2H
1.0
3.994 0.000 0.000
0.000 3.994 0.000
0.000 0.000 3.853
Re H Fe Nb
2 1 1 1
Direct
0.000 0.500 0.000
0.500 0.000 0.000
0.000 0.000 0.000
0.000 0.000 0.500
0.500 0.500 0.500
```

---

Total magnetization across the listed records, respectively: 0.00; 1.12; 0.00; 0.00; 0.00; 0.00; 0.00; 1.61 μB per cell.
Calculated density across the listed records, respectively: 9.550; 9.480; 4.419; 11.697; 4.912; 7.607; 6.651; 14.107 g cm⁻³.